[1]
Compound: KSbPt
Source: the Alexandria database
Functional: PBE
Structure: optimized geometry

Unit cell a=4.593 b=7.934 c=7.520 alpha=126.34 beta=72.34 gamma=125.09
Atoms (fractional coordinates):
K: 0.266 0.502 0.387
K: 0.612 0.602 0.902
Sb: 0.599 0.109 0.938
Sb: 0.279 0.995 0.351
Pt: 0.774 0.090 0.550
Pt: 0.103 0.014 0.739

## Properties
Space group: No. 2
Crystal system: triclinic
Energy relative to the lowest polymorph listed for this composition: 29 meV/atom
Spin magnetization: 0.00 Bohr magnetons per cell

---

[2]
Compound: K3Sb2Pt2
Source: the Alexandria database
Functional: PBE
Structure: optimized geometry

Unit cell a=6.768 b=8.704 c=14.142 alpha=90.00 beta=90.00 gamma=90.00
Atoms (fractional coordinates):
K: 0.127 0.616 0.098
K: 0.873 0.384 0.598
K: 0.873 0.116 0.402
K: 0.127 0.884 0.902
K: 0.873 0.384 0.902
K: 0.127 0.616 0.402
K: 0.127 0.884 0.598
K: 0.873 0.116 0.098
K: 0.318 0.302 0.250
K: 0.682 0.698 0.750
K: 0.682 0.802 0.250
K: 0.318 0.198 0.750
Sb: 0.398 0.250 0.000
Sb: 0.602 0.750 0.500
Sb: 0.602 0.750 0.000
Sb: 0.398 0.250 0.500
Sb: 0.793 0.430 0.250
Sb: 0.207 0.570 0.750
Sb: 0.207 0.930 0.250
Sb: 0.793 0.070 0.750
Pt: 0.601 0.470 0.089
Pt: 0.399 0.530 0.589
Pt: 0.399 0.970 0.411
Pt: 0.601 0.030 0.911
Pt: 0.399 0.530 0.911
Pt: 0.601 0.470 0.411
Pt: 0.601 0.030 0.589
Pt: 0.399 0.970 0.089

## Properties
Space group: No. 57
Crystal system: orthorhombic
Energy: -3.8668 eV per atom
Spin magnetization: 0.00 Bohr magnetons per cell

---

[3]
Compound: KSb2Pt
Source: the Alexandria database
Functional: PBE
Structure: optimized geometry

Unit cell a=8.452 b=8.452 c=8.452 alpha=28.97 beta=28.97 gamma=28.97
Atoms (fractional coordinates):
K: 0.487 0.487 0.487
Pt: 0.724 0.724 0.724
Sb: 0.016 0.016 0.016
Sb: 0.272 0.272 0.272

## Properties
Space group: No. 160
Crystal system: trigonal
Energy relative to the lowest polymorph listed for this composition: 429 meV/atom
Spin magnetization: 0.00 Bohr magnetons per cell

---

[4]
Compound: KSb2Pt
Source: the Alexandria database
Functional: PBE
Structure: optimized geometry

Unit cell a=4.440 b=3.370 c=7.313 alpha=90.00 beta=90.00 gamma=90.00
Atoms (fractional coordinates):
K: 0.500 0.250 0.250
Pt: 0.500 0.750 0.750
Sb: 0.000 0.750 0.953
Sb: 0.000 0.750 0.547

## Properties
Space group: No. 47
Crystal system: orthorhombic
Energy relative to the lowest polymorph listed for this composition: 181 meV/atom
Spin magnetization: 0.00 Bohr magnetons per cell